(1)
# PuMnTc2

A relaxed PuMnTc2 crystal (PBE, Alexandria via LeMat-Bulk).

Summary:
- Formation energy: 0.1864 eV/atom
- Energy above the most stable polymorph in this dataset: 0.080 eV/atom

Lattice parameters (Å, degrees): 3.1913 3.1913 6.4097 90.00 90.00 90.00
Last column: nearest neighbours and their distance in Å.
Space group P4/mmm (No. 123)
Unique sites:
Pu: 0.0000 0.0000 0.0000 (multiplicity 1)  8 Tc 2.87, 4 Pu 3.19, 2 Mn 3.20
Mn: 0.0000 0.0000 0.5000 (multiplicity 1)  8 Tc 2.67
Tc: 0.5000 0.5000 0.2770 (multiplicity 2)  4 Mn 2.67, 1 Tc 2.86, 4 Pu 2.87


(2)
# Tl3PRu

A relaxed Tl3PRu crystal (PBE, Alexandria via LeMat-Bulk).

Summary:
- Formation energy: 1.1677 eV/atom
- Energy above the most stable polymorph in this dataset: 0.465 eV/atom

Lattice parameters (Å, degrees): 5.2485 5.2485 5.2485 90.00 90.00 90.00
Last column: nearest neighbours and their distance in Å.
Space group Pm-3m (No. 221)
Unique sites:
Tl: 0.0000 0.0000 0.5000 (multiplicity 3)  2 P 2.62
P: 0.0000 0.0000 0.0000 (multiplicity 1)  6 Tl 2.62
Ru: 0.5000 0.5000 0.5000 (multiplicity 1)  12 Tl 3.71


(3)
# Na2In3Sn2

A relaxed Na2In3Sn2 crystal (PBE, Alexandria via LeMat-Bulk).

Summary:
- Formation energy: -0.0676 eV/atom
- Energy above the most stable polymorph in this dataset: 0.016 eV/atom

Lattice parameters (Å, degrees): 3.4858 25.5802 8.7326 90.00 90.00 90.00
Last column: nearest neighbours and their distance in Å.
Space group Cmcm (No. 63)
Unique sites:
Na: 0.0000 0.0569 0.2500 (multiplicity 4)  8 In 3.37-3.59, 4 Sn 3.48, 2 Na 3.49
Na: 0.0000 0.1484 0.7500 (multiplicity 4)  6 In 3.24-3.38, 4 Sn 3.34, 2 Na 3.49
In: 0.0000 0.2448 0.2500 (multiplicity 4)  4 Sn 3.20, 2 Na 3.24, 2 In 3.49
In: 0.0000 0.4488 0.0802 (multiplicity 8)  2 In 2.97, 1 Sn 3.06
Sn: 0.0000 0.3415 0.5746 (multiplicity 8)  3 In 3.06-3.20, 1 Sn 3.06, 2 Na 3.34


(4)
# BiS3N

A relaxed BiS3N crystal (PBE, Alexandria via LeMat-Bulk).

Summary:
- Formation energy from raw total energies: 1.6760 eV/atom
- Energy above the most stable polymorph in this dataset: 0.851 eV/atom

Lattice parameters (Å, degrees): 5.3249 5.3249 5.3249 90.00 90.00 90.00
Last column: nearest neighbours and their distance in Å.
Space group Pm-3m (No. 221)
Unique sites:
Bi: 0.0000 0.0000 0.0000 (multiplicity 1)  6 S 2.66
S: 0.0000 0.0000 0.5000 (multiplicity 3)  2 Bi 2.66
N: 0.5000 0.5000 0.5000 (multiplicity 1)  12 S 3.77


Q: What is the formula in the fourth record?
A: BiS3N


Q: What is the energy above the most stable polymorph in this dataset in the second record?
A: 0.465 eV/atom


Q: Among the records above, which one has the lowest energy above the most stable polymorph in this dataset?
A: Na2In3Sn2